DFT (PBEsol) results for a relaxed structure of Ag2Ir.

The mass density comes out at 14.386 g/cm³. For the formation enthalpy at 0 K, the calculation gives 0.46 eV/atom. The relative energy among the computed polymorphs is 0.257 eV per formula unit.

It has space group Cmcm (No. 63), with a = 2.637 Å, b = 15.101 Å, c = 4.730 Å, α = 90.00°, β = 90.00° and γ = 90.00°. The distinct sites, in fractional coordinates, are Ag at (0.000, 0.053, 0.250), Ag at (0.000, 0.280, 0.750) and Ir at (0.000, 0.386, 0.250).

---

DFT (PBEsol) results for a relaxed structure of AgIr.

The mass density comes out at 14.224 g/cm³. For the formation enthalpy at 0 K, the calculation gives 1.55 eV/atom.

It has space group Fm-3m (No. 225), with a = 5.194 Å, b = 5.194 Å, c = 5.194 Å, α = 90.00°, β = 90.00° and γ = 90.00°. The distinct sites, in fractional coordinates, are Ag at (0.000, 0.000, 0.000) and Ir at (0.000, 0.000, 0.500).

---

DFT (PBEsol) results for a relaxed structure of Ag2Ir.

The mass density comes out at 14.035 g/cm³. For the formation enthalpy at 0 K, the calculation gives 0.83 eV/atom. The relative energy among the computed polymorphs is 1.349 eV per formula unit.

It has space group Fd-3m (No. 227, origin choice 2), with a = 7.282 Å, b = 7.282 Å, c = 7.282 Å, α = 90.00°, β = 90.00° and γ = 90.00°. The distinct sites, in fractional coordinates, are Ag at (0.000, 0.000, 0.000) and Ir at (0.125, 0.125, 0.625).

---

DFT (PBEsol) results for a relaxed structure of AgIr.

The mass density comes out at 15.726 g/cm³. For the formation enthalpy at 0 K, the calculation gives 0.52 eV/atom.

It has space group P6_3mc (No. 186), with a = 2.6840 Å, b = 2.6840 Å, c = 10.1581 Å, α = 90.00°, β = 90.00° and γ = 120.00°. The distinct sites, in fractional coordinates, are Ag at (0.3333, 0.6667, 0.0000) and Ir at (0.3333, 0.6667, 0.7362).

---

DFT (PBEsol) results for a relaxed structure of AgIr.

The mass density comes out at 16.262 g/cm³. For the formation enthalpy at 0 K, the calculation gives 0.41 eV/atom.

It has space group Cmmm (No. 65), with a = 2.729 Å, b = 4.663 Å, c = 4.816 Å, α = 90.00°, β = 90.00° and γ = 90.00°. The distinct sites, in fractional coordinates, are Ag at (0.000, 0.000, 0.000) and Ir at (0.000, 0.500, 0.500).

---

DFT (PBEsol) results for a relaxed structure of Ag2Ir.

The mass density comes out at 14.387 g/cm³. For the formation enthalpy at 0 K, the calculation gives 0.38 eV/atom. The relative energy among the computed polymorphs is 0.000 eV per formula unit.

It has space group C2/m (No. 12), with a = 10.788 Å, b = 2.694 Å, c = 6.677 Å, α = 90.00°, β = 103.94° and γ = 90.00°. The distinct sites, in fractional coordinates, are Ag at (0.130, 0.000, 0.019), Ag at (0.204, 0.000, 0.652) and Ir at (0.028, 0.500, 0.327).

---

DFT (PBEsol) results for a relaxed structure of AgIr.

The mass density comes out at 16.111 g/cm³. For the formation enthalpy at 0 K, the calculation gives 0.47 eV/atom.

It has space group Pmma (No. 51), with a = 4.588 Å, b = 2.685 Å, c = 5.022 Å, α = 90.00°, β = 90.00° and γ = 90.00°. The distinct sites, in fractional coordinates, are Ag at (0.250, 0.000, 0.126) and Ir at (0.250, 0.500, 0.610).

---

DFT (PBEsol) results for a relaxed structure of KAgIr2.

The mass density comes out at 10.796 g/cm³. For the formation enthalpy at 0 K, the calculation gives 0.44 eV/atom. The relative energy among the computed polymorphs is 0.000 eV per formula unit.

It has space group Pmm2 (No. 25), with a = 2.755 Å, b = 3.841 Å, c = 7.723 Å, α = 90.00°, β = 90.00° and γ = 90.00°. The distinct sites, in fractional coordinates, are K at (0.000, 0.000, 0.000), Ag at (0.500, 0.500, 0.325), Ir at (0.000, 0.000, 0.558) and Ir at (0.500, 0.500, 0.677).

---

> Look up the formation enthalpy at 0 K of the second one.

1.55 eV/atom

---

> Which of these has the highest mass density?

number 5